1.
Material: Pm19Dy4Tm6
Method: DFT, GGA-PBE
State: optimized geometry

a = 12.6134 Å, b = 12.6134 Å, c = 12.6134 Å
α = 90.00°, β = 90.00°, γ = 90.00°
Space group I23 (No. 197)
Unique sites:
Pm: 0.0000 0.0000 0.0000
Pm: 0.0000 0.0000 0.2617
Pm: 0.0620 0.2636 0.2802
Dy: 0.1798 0.1798 0.8202
Tm: 0.0000 0.3750 0.5000

Results
The value obtained for the energy relative to the elements is 1044 kJ/mol of formula units.


2.
Material: Pm5Dy3Tm2
Method: DFT, GGA-PBE
State: optimized geometry

a = 10.6790 Å, b = 14.9560 Å, c = 9.9139 Å
α = 90.00°, β = 122.57°, γ = 90.00°
Space group C2/c (No. 15)
Unique sites:
Pm: 0.0000 0.0223 0.2500
Pm: 0.0000 0.2308 0.2500
Pm: 0.0000 0.2722 0.7500
Pm: 0.2402 0.3806 0.2339
Dy: 0.0000 0.4755 0.7500
Dy: 0.1494 0.1252 0.0553
Tm: 0.1560 0.3786 0.5552

Results
The value obtained for the energy relative to the elements is 178 kJ/mol of formula units.


3.
Material: Pm3DyTm6
Method: DFT, GGA-PBE
State: optimized geometry

a = 10.9776 Å, b = 18.8513 Å, c = 6.1950 Å
α = 90.00°, β = 90.00°, γ = 90.00°
Space group Cmc2_1 (No. 36)
Unique sites:
Pm: 0.0000 0.1085 0.0000
Pm: 0.1723 0.3898 0.6050
Dy: 0.0000 0.2944 0.9216
Tm: 0.0000 0.2194 0.4246
Tm: 0.0000 0.4542 0.1559
Tm: 0.1642 0.0479 0.5292
Tm: 0.2488 0.2108 0.6972

Results
As for the polymorph energy (0 for the lowest one): 0.000 eV per formula unit. The value obtained for the energy relative to the elements is 146 kJ/mol of formula units.


4.
Material: PmDy12Tm6
Method: DFT, GGA-PBE
State: optimized geometry

a = 14.9288 Å, b = 14.9288 Å, c = 10.0408 Å
α = 90.00°, β = 90.00°, γ = 120.00°
Space group R-3m (No. 166, hexagonal axes)
Unique sites:
Pm: 0.0000 0.0000 0.0000
Dy: 0.0000 0.3889 0.5000
Dy: 0.0732 0.1465 0.2934
Tm: 0.0533 0.5267 0.2148

Results
As for the polymorph energy (0 for the lowest one): 5.361 eV per formula unit. The value obtained for the energy relative to the elements is 803 kJ/mol of formula units.


5.
Material: Pm5Dy2Tm
Method: DFT, GGA-PBE
State: optimized geometry

a = 6.3294 Å, b = 8.9774 Å, c = 10.3826 Å
α = 110.18°, β = 96.20°, γ = 101.03°
Space group P1 (No. 1)
Unique sites:
Pm: 0.0000 0.0000 0.0000
Pm: 0.0043 0.6057 0.7583
Pm: 0.1320 0.1575 0.3606
Pm: 0.2596 0.2786 0.7527
Pm: 0.2719 0.8910 0.4996
Pm: 0.3544 0.4102 0.1498
Pm: 0.4584 0.5555 0.5568
Pm: 0.5665 0.0802 0.1775
Pm: 0.8009 0.3322 0.9499
Pm: 0.9073 0.4908 0.3578
Dy: 0.4191 0.9443 0.8262
Dy: 0.5679 0.6667 0.9563
Dy: 0.6987 0.8127 0.3230
Dy: 0.8439 0.9333 0.6686
Tm: 0.1298 0.7322 0.1405
Tm: 0.6989 0.2224 0.5509

Results
As for the polymorph energy (0 for the lowest one): 0.391 eV per formula unit. The value obtained for the energy relative to the elements is 51 kJ/mol of formula units.


6.
Material: Pm6Dy12Tm
Method: DFT, GGA-PBE
State: optimized geometry

a = 15.2309 Å, b = 15.2309 Å, c = 9.9984 Å
α = 90.00°, β = 90.00°, γ = 120.00°
Space group R-3m (No. 166, hexagonal axes)
Unique sites:
Pm: 0.0820 0.5410 0.2122
Dy: 0.0000 0.3893 0.5000
Dy: 0.0792 0.1585 0.2262
Tm: 0.0000 0.0000 0.0000

Results
As for the polymorph energy (0 for the lowest one): 6.377 eV per formula unit. The value obtained for the energy relative to the elements is 843 kJ/mol of formula units.


7.
Material: Pm3DyTm4
Method: DFT, GGA-PBE
State: optimized geometry

a = 11.3302 Å, b = 7.2646 Å, c = 6.2590 Å
α = 90.00°, β = 90.00°, γ = 90.00°
Space group Pmn2_1 (No. 31)
Unique sites:
Pm: 0.0000 0.1277 0.0000
Pm: 0.2499 0.1273 0.3354
Dy: 0.0000 0.8702 0.4994
Tm: 0.0000 0.3786 0.5009
Tm: 0.0000 0.6210 0.0015
Tm: 0.2488 0.6211 0.3342

Results
As for the polymorph energy (0 for the lowest one): 0.000 eV per formula unit. The value obtained for the energy relative to the elements is 14 kJ/mol of formula units.


8.
Material: Pm5DyTm2
Method: DFT, GGA-PBE
State: optimized geometry

a = 7.1869 Å, b = 14.3781 Å, c = 5.0830 Å
α = 90.00°, β = 90.00°, γ = 90.00°
Space group Pbam (No. 55)
Unique sites:
Pm: 0.0000 0.0000 0.0000
Pm: 0.9997 0.2509 0.0000
Pm: 0.2490 0.3757 0.5000
Dy: 0.0000 0.5000 0.0000
Tm: 0.2503 0.1242 0.5000

Results
As for the polymorph energy (0 for the lowest one): 0.000 eV per formula unit. The value obtained for the energy relative to the elements is 13 kJ/mol of formula units.


9.
Material: Pm4DyTm3
Method: DFT, GGA-PBE
State: optimized geometry

a = 5.6502 Å, b = 3.6204 Å, c = 13.2330 Å
α = 90.00°, β = 102.28°, γ = 90.00°
Space group P2/m (No. 10)
Unique sites:
Pm: 0.1025 0.0000 0.2058
Pm: 0.2228 0.0000 0.4462
Dy: 0.0000 0.5000 0.0000
Tm: 0.3486 0.5000 0.6974
Tm: 0.5000 0.0000 0.0000

Results
As for the polymorph energy (0 for the lowest one): 1.432 eV per formula unit. The value obtained for the energy relative to the elements is 157 kJ/mol of formula units.


10.
Material: Pm12DyTm3
Method: DFT, GGA-PBE
State: optimized geometry

a = 5.1100 Å, b = 5.1100 Å, c = 20.3872 Å
α = 90.00°, β = 90.00°, γ = 90.00°
Space group P4/mmm (No. 123)
Unique sites:
Pm: 0.0000 0.0000 0.0000
Pm: 0.0000 0.0000 0.2494
Pm: 0.0000 0.0000 0.5000
Pm: 0.0000 0.5000 0.1248
Pm: 0.0000 0.5000 0.3743
Dy: 0.5000 0.5000 0.5000
Tm: 0.5000 0.5000 0.0000
Tm: 0.5000 0.5000 0.2494

Results
The value obtained for the energy relative to the elements is 23 kJ/mol of formula units.


11.
Material: Pm5Dy2Tm12
Method: DFT, GGA-PBE
State: optimized geometry

a = 18.1440 Å, b = 6.9753 Å, c = 10.3128 Å
α = 90.00°, β = 111.03°, γ = 90.00°
Space group C2/m (No. 12)
Unique sites:
Pm: 0.0000 0.0000 0.0000
Pm: 0.1817 0.5000 0.7095
Pm: 0.1880 0.0000 0.6824
Dy: 0.0000 0.2710 0.5000
Tm: 0.0026 0.5000 0.1741
Tm: 0.0251 0.0000 0.7476
Tm: 0.1580 0.2468 0.3687
Tm: 0.1627 0.2526 0.0221

Results
As for the polymorph energy (0 for the lowest one): 2.947 eV per formula unit. The value obtained for the energy relative to the elements is 329 kJ/mol of formula units.


12.
Material: Pm8Dy2Tm
Method: DFT, GGA-PBE
State: optimized geometry

a = 16.7044 Å, b = 6.7822 Å, c = 6.7145 Å
α = 90.00°, β = 100.48°, γ = 90.00°
Space group C2/m (No. 12)
Unique sites:
Pm: 0.0867 0.2378 0.4025
Pm: 0.0932 0.0000 0.9129
Pm: 0.2442 0.5000 0.3175
Dy: 0.1960 0.5000 0.8048
Tm: 0.0000 0.5000 0.0000

Results
As for the polymorph energy (0 for the lowest one): 0.000 eV per formula unit. The value obtained for the energy relative to the elements is 179 kJ/mol of formula units.


13.
Material: Pm3Dy4Tm4
Method: DFT, GGA-PBE
State: optimized geometry

a = 3.5511 Å, b = 6.1359 Å, c = 16.6610 Å
α = 90.04°, β = 90.02°, γ = 106.67°
Space group P-1 (No. 2)
Unique sites:
Pm: 0.0000 0.0000 0.0000
Pm: 0.1812 0.3634 0.7265
Dy: 0.3643 0.7282 0.4549
Dy: 0.4537 0.9063 0.8178
Tm: 0.0907 0.1811 0.3648
Tm: 0.2727 0.5445 0.0905

Results
As for the polymorph energy (0 for the lowest one): 0.000 eV per formula unit. The value obtained for the energy relative to the elements is 21 kJ/mol of formula units.


14.
Material: Pm4Dy4Tm3
Method: DFT, GGA-PBE
State: optimized geometry

a = 3.5192 Å, b = 5.6381 Å, c = 18.0451 Å
α = 98.98°, β = 95.59°, γ = 90.00°
Space group P-1 (No. 2)
Unique sites:
Pm: 0.0899 0.0904 0.1802
Pm: 0.2323 0.7321 0.4641
Dy: 0.0452 0.5458 0.0910
Dy: 0.1796 0.1800 0.3600
Tm: 0.3649 0.3643 0.7290
Tm: 0.5000 0.0000 0.0000

Results
As for the polymorph energy (0 for the lowest one): 0.000 eV per formula unit. The value obtained for the energy relative to the elements is 66 kJ/mol of formula units.


15.
Material: Pm2Dy5Tm12
Method: DFT, GGA-PBE
State: optimized geometry

a = 15.6247 Å, b = 9.1503 Å, c = 8.4279 Å
α = 90.00°, β = 91.40°, γ = 90.00°
Space group C2/m (No. 12)
Unique sites:
Pm: 0.0000 0.1844 0.0000
Dy: 0.0000 0.5000 0.5000
Dy: 0.1983 0.0000 0.0084
Dy: 0.2329 0.5000 0.5766
Tm: 0.0561 0.0000 0.3291
Tm: 0.0920 0.5000 0.8826
Tm: 0.1271 0.1914 0.6536
Tm: 0.1558 0.3195 0.2459

Results
As for the polymorph energy (0 for the lowest one): 2.050 eV per formula unit. The value obtained for the energy relative to the elements is 241 kJ/mol of formula units.


16.
Material: Pm2Dy5Tm
Method: DFT, GGA-PBE
State: optimized geometry

a = 6.6578 Å, b = 8.8197 Å, c = 9.5589 Å
α = 88.62°, β = 85.76°, γ = 67.94°
Space group P-1 (No. 2)
Unique sites:
Pm: 0.1302 0.1106 0.0711
Pm: 0.2413 0.8907 0.5711
Dy: 0.1602 0.6752 0.2509
Dy: 0.1872 0.2556 0.3871
Dy: 0.2005 0.4838 0.9090
Dy: 0.3177 0.4839 0.5929
Dy: 0.4442 0.7451 0.8856
Tm: 0.4413 0.1214 0.7508

Results
As for the polymorph energy (0 for the lowest one): 1.062 eV per formula unit. The value obtained for the energy relative to the elements is 116 kJ/mol of formula units.


17.
Material: PmDyTm2
Method: DFT, GGA-PBE
State: optimized geometry

a = 3.5626 Å, b = 3.5626 Å, c = 34.3514 Å
α = 90.00°, β = 90.00°, γ = 120.00°
Space group R3m (No. 160, hexagonal axes)
Unique sites:
Pm: 0.0000 0.0000 0.0000
Dy: 0.0000 0.0000 0.1657
Tm: 0.0000 0.0000 0.5814
Tm: 0.0000 0.0000 0.7505

Results
As for the polymorph energy (0 for the lowest one): 0.015 eV per formula unit. The value obtained for the energy relative to the elements is 8 kJ/mol of formula units.